Computed, not measured: a relaxed structure of TcPPb at the PBE level of DFT.

Values from the calculation:
E_form: -2 meV per atom
E_tot: -19.49 eV per cell
size of the total moment: 0.000 μB per cell
calculated volume: 19.628 A^3/atom
energy above the lowest structure with this stoichiometry: 0.193 eV/atom

Unit cell a=6.401 b=6.401 c=6.401 alpha=151.68 beta=151.68 gamma=40.48
Atoms (fractional coordinates):
Tc (0.000, 0.000, 0.000)
P (0.418, 0.418, 0.000)
Pb (0.685, 0.685, 0.000)